VASP calculation (PBE-GGA) on an optimized crystal structure of TbSmMgAl.

E_form = -0.27 eV per atom
Calculated density = 5.81 g/cm3

a b c (Å): 5.262 5.262 5.262
angles (deg): 60.00 60.00 60.00
Atoms (fractional coordinates):
Tb  0.000  0.000  0.000
Sm  0.500  0.500  0.500
Mg  0.750  0.750  0.750
Al  0.250  0.250  0.250